An optimized crystal structure of KCeBe2H8. Source: Alexandria, functional PBE-GGA.

Results
Total moment, μB/f.u.: 1.0
Electronic total energy, eV per atom: -3.7612

Unit cell a=4.6107 b=4.6107 c=21.2215 alpha=90.00 beta=90.00 gamma=120.00
Space group R-3m (No. 166, hexagonal axes)
Symmetry-distinct sites (fractional):
K 0.0000 0.0000 0.0000 [3 per cell]
Ce 0.0000 0.0000 0.5000 [3 per cell]
Be 0.0000 0.0000 0.2362 [6 per cell]
H 0.0000 0.0000 0.1660 [6 per cell]
H 0.0041 0.5021 0.0769 [18 per cell]